# Zr2AuSe

Zr2AuSe after structural relaxation (PBE, Alexandria via LeMat-Bulk).

The space group is Immm (No. 71) and the conventional cell measures 4.206, 5.082 and 7.515 Å, with angles of 90.00, 90.00 and 90.00 degrees. Symmetry generates all atoms from Zr at (0.000, 0.000, 0.236), Au at (0.000, 0.500, 0.000) and Se at (0.000, 0.500, 0.500).

The value obtained for the calculated density is 9.48 g cm⁻³. The value obtained for the density of states at the Fermi level is 7.06 states/eV per cell. The value obtained for the magnetic moment is 0.000 μB per cell. The total DFT energy (no corrections) is -6.610 eV/atom.